The following is a PBE calculation of a geometry-optimized TlTcRh structure, from Alexandria.

Unit cell a=2.9498 b=2.9498 c=6.8791 alpha=90.00 beta=90.00 gamma=120.00
Last column: nearest neighbours and their distance in Å.
Sites, in units of the cell vectors:
Tl: 0.0000 0.0000 0.0000  6 Tl 2.95, 3 Rh 2.96, 3 Tc 3.01
Tc: 0.6667 0.3333 0.6401  3 Rh 2.61
Rh: 0.3333 0.6667 0.3523  3 Tc 2.61

- Spin magnetization: 0.00 μB per formula unit
- Formation energy: 0.428 eV/atom
- Electronic total energy: -18.801 eV for the cell shown
- DOS(E_F): 3.77 states/eV/f.u.